[1]
Below is a PBEsol-optimized structure of LaCrRe2, with properties calculated at the meta-GGA SCAN level.

The density of states at the Fermi level is 0.991 states/eV per atom. The calculation puts the total magnetic moment at 0.611 μB/atom. As for the formation energy: 3.0 eV per formula unit.

It has space group C2/m (No. 12), with a = 5.353 Å, b = 9.306 Å, c = 2.802 Å, α = 90.00°, β = 109.44° and γ = 90.00°. The distinct sites, in fractional coordinates, are La at (0.000, 0.000, 0.000), Cr at (0.000, 0.500, 0.000) and Re at (0.250, 0.250, 0.500).

[2]
Below is a PBEsol-optimized structure of VOF2, with properties calculated at the meta-GGA SCAN level.

The density of states at the Fermi level is 0.029 states/eV per atom. For the uncorrected formation energy, the calculation gives -11.74 eV/f.u. The calculation puts the total magnetic moment at 0.250 μB/atom.

It has space group P2_1/c (No. 14), with a = 5.290 Å, b = 5.216 Å, c = 7.252 Å, α = 90.00°, β = 91.96° and γ = 90.00°. The distinct sites, in fractional coordinates, are V at (0.250, 0.239, 0.223), O at (0.250, 0.197, 0.997), F at (0.057, 0.561, 0.781) and F at (0.445, 0.552, 0.219).

[3]
Below is a PBEsol-optimized structure of CuNi2Ir, with properties calculated at the meta-GGA SCAN level.

The density of states at the Fermi level is 1.002 states/eV per atom. The calculation puts the total magnetic moment at 0.001 μB/atom. As for the formation energy: 0.3 eV per formula unit.

It has space group R-3m (No. 166, hexagonal axes), with a = 2.5917 Å, b = 2.5917 Å, c = 24.2787 Å, α = 90.00°, β = 90.00° and γ = 120.00°. The distinct sites, in fractional coordinates, are Cu at (0.0000, 0.0000, 0.0000), Ni at (0.0000, 0.0000, 0.2517) and Ir at (0.0000, 0.0000, 0.5000).

[4]
Below is a PBEsol-optimized structure of BaPt2Pb, with properties calculated at the meta-GGA SCAN level.

The density of states at the Fermi level is 1.081 states/eV per atom. The calculation puts the total magnetic moment at 0.000 μB/atom. As for the formation energy: -2.3 eV per formula unit.

It has space group Cm (No. 8), with a = 7.833 Å, b = 4.542 Å, c = 6.514 Å, α = 90.00°, β = 113.75° and γ = 90.00°. The distinct sites, in fractional coordinates, are Ba at (0.000, 0.000, 0.000), Pt at (0.044, 0.500, 0.631), Pt at (0.213, 0.000, 0.640) and Pb at (0.305, 0.500, 0.414).